Na5B7C3 PBE optimized geometry; mass density = 2.43 g cm⁻³; calculated total energy = -5.25 eV/atom; total magnetization = 0.00 μB per cell; formation energy from the elements = 155 meV/atom; SG = No. 164; relative energy among the computed polymorphs = 4.1 kJ/mol of atoms
1.0
2.8957 0.0000 0.0000
-1.4478 2.5077 0.0000
0.0000 0.0000 42.6611
B C Na
14 6 10
Direct
0.6667 0.3333 0.0466
0.3333 0.6667 0.7492
0.6667 0.3333 0.1489
0.6667 0.3333 0.6508
0.3333 0.6667 0.2511
0.3333 0.6667 0.9461
0.6667 0.3333 0.2511
0.3333 0.6667 0.1489
0.6667 0.3333 0.4539
0.3333 0.6667 0.3534
0.6667 0.3333 0.8476
0.3333 0.6667 0.0466
0.6667 0.3333 0.3534
0.3333 0.6667 0.5524
0.3333 0.6667 0.4540
0.6667 0.3333 0.7492
0.6667 0.3333 0.5524
0.3333 0.6667 0.6508
0.3333 0.6667 0.8476
0.6667 0.3333 0.9460
0.0000 0.0000 0.8969
0.0000 0.0000 0.4043
0.0000 0.0000 0.6016
0.0000 0.0000 0.3024
0.0000 0.0000 0.7984
0.0000 0.0000 0.5031
0.0000 0.0000 0.0976
0.0000 0.0000 0.2000
0.0000 0.0000 0.9957
0.0000 0.0000 0.7000